Record 1
The following is a PBE calculation of an optimized crystal structure of TeMo3H, from the Alexandria database.

a b c (Å): 4.126 4.126 4.126
angles (deg): 90.00 90.00 90.00
Fractional coordinates of all 5 atoms:
Mo: 0.500 0.000 0.000
Mo: 0.000 0.500 0.000
H: 0.000 0.000 0.000
Mo: 0.000 0.000 0.500
Te: 0.500 0.500 0.500

Computed properties:
distance to the lowest polymorph of the same formula: 0 meV/atom
SG: No. 221



Record 2
The following is a PBE calculation of an optimized crystal structure of Na2ZnCdO, from the Alexandria database.

a b c (Å): 5.589 4.913 5.589
angles (deg): 90.00 90.00 90.00
Fractional coordinates of all 5 atoms:
Na: 0.500 0.000 0.000
Cd: 0.000 0.000 0.000
Na: 0.000 0.000 0.500
Zn: 0.000 0.500 0.000
O: 0.500 0.500 0.500

Computed properties:
calculated total energy: -1.507 eV/atom
SG: No. 123



Record 3
The following is a PBE calculation of an optimized crystal structure of Li2Tl2Cl, from the Alexandria database.

a b c (Å): 6.530 6.530 5.814
angles (deg): 90.00 90.00 90.00
Fractional coordinates of all 10 atoms:
Li: 0.171 0.329 0.000
Li: 0.329 0.829 0.000
Tl: 0.663 0.837 0.500
Li: 0.829 0.671 0.000
Tl: 0.837 0.337 0.500
Cl: 0.000 0.000 0.000
Tl: 0.163 0.663 0.500
Li: 0.671 0.171 0.000
Cl: 0.500 0.500 0.000
Tl: 0.337 0.163 0.500

Computed properties:
calculated total energy: -2.621 eV/atom
SG: No. 127



Record 4
The following is a PBE calculation of an optimized crystal structure of InMo2Br, from the Alexandria database.

a b c (Å): 9.131 9.131 9.131
angles (deg): 19.25 19.25 19.25
Last column: magnetic moment on the atom in μB.
Fractional coordinates of all 4 atoms:
In: 0.750 0.750 0.750  0.00
Br: 0.250 0.250 0.250  0.01
Mo: 0.996 0.996 0.996  0.55
Mo: 0.504 0.504 0.504  0.55

Computed properties:
distance to the lowest polymorph of the same formula: 414 meV/atom
SG: No. 166



Record 5
The following is a PBE calculation of an optimized crystal structure of Cr2ReRu, from the Alexandria database.

a b c (Å): 6.721 6.721 5.385
angles (deg): 51.39 51.39 90.00
Fractional coordinates of all 8 atoms:
Cr: 0.375 0.376 0.750
Cr: 0.126 0.625 0.250
Cr: 0.624 0.125 0.250
Ru: 0.250 0.750 0.500
Re: 0.750 0.250 0.500
Ru: 0.500 0.500 0.000
Re: 0.000 0.000 0.000
Cr: 0.875 0.874 0.750

Computed properties:
SG: No. 122
ΔE_f: 3.242 eV per formula unit



Record 6
The following is a PBE calculation of an optimized crystal structure of Tm4HgPd2Au, from the Alexandria database.

a b c (Å): 4.995 4.995 8.683
angles (deg): 73.28 73.28 60.00
Fractional coordinates of all 8 atoms:
Tm: 0.622 0.622 0.133
Pd: 0.253 0.253 0.242
Hg: 0.000 0.000 0.000
Tm: 0.378 0.378 0.867
Tm: 0.873 0.873 0.382
Au: 0.500 0.500 0.500
Pd: 0.747 0.747 0.758
Tm: 0.127 0.127 0.618

Computed properties:
SG: No. 166
ΔE_f: -6.378 eV per formula unit



Record 7
The following is a PBE calculation of an optimized crystal structure of CoHS2, from the Alexandria database.

a b c (Å): 3.936 3.936 3.936
angles (deg): 60.00 60.00 60.00
Fractional coordinates of all 4 atoms:
H: 0.000 0.000 0.000
S: 0.750 0.750 0.750
S: 0.250 0.250 0.250
Co: 0.500 0.500 0.500

Computed properties:
distance to the lowest polymorph of the same formula: 800 meV/atom
SG: No. 225



Record 8
The following is a PBE calculation of an optimized crystal structure of Mg2Tc, from the Alexandria database.

a b c (Å): 5.297 5.297 5.297
angles (deg): 60.00 60.00 60.00
Last column: magnetic moment on the atom in μB.
Fractional coordinates of all 6 atoms:
Tc: 0.250 0.250 0.250  1.25
Tc: 0.000 0.000 0.000  1.25
Mg: 0.625 0.625 0.625  -0.01
Mg: 0.625 0.625 0.125  -0.01
Mg: 0.625 0.125 0.625  -0.01
Mg: 0.125 0.625 0.625  -0.01

Computed properties:
distance to the lowest polymorph of the same formula: 653 meV/atom
SG: No. 227
ΔE_f: 1.977 eV per formula unit



Record 9
The following is a PBE calculation of an optimized crystal structure of CoRu2Pt, from the Alexandria database.

a b c (Å): 4.077 2.698 5.194
angles (deg): 75.03 90.00 90.00
Last column: magnetic moment on the atom in μB.
Fractional coordinates of all 4 atoms:
Ru: 0.000 0.046 0.033  0.10
Ru: 0.500 0.444 0.239  0.15
Pt: 0.500 0.704 0.717  0.18
Co: 0.000 0.306 0.512  1.58

Computed properties:
distance to the lowest polymorph of the same formula: 71 meV/atom
SG: No. 38
ΔE_f: 0.479 eV per formula unit



Record 10
The following is a PBE calculation of an optimized crystal structure of Ce5ZnGa2, from the Alexandria database.

a b c (Å): 5.088 5.088 8.886
angles (deg): 73.36 73.36 60.00
Last column: magnetic moment on the atom in μB.
Fractional coordinates of all 8 atoms:
Ga: 0.886 0.886 0.342  -0.01
Ce: 0.756 0.756 0.733  0.51
Ce: 0.622 0.622 0.133  0.49
Ce: 0.500 0.500 0.500  0.36
Ce: 0.378 0.378 0.867  0.49
Ce: 0.244 0.244 0.267  0.51
Zn: 0.000 0.000 0.000  -0.01
Ga: 0.114 0.114 0.658  -0.01

Computed properties:
SG: No. 166
ΔE_f: -2.008 eV per formula unit



Record 11
The following is a PBE calculation of an optimized crystal structure of KHg2As, from the Alexandria database.

a b c (Å): 5.316 5.316 5.316
angles (deg): 60.00 60.00 60.00
Fractional coordinates of all 4 atoms:
K: 0.750 0.750 0.750
Hg: 0.000 0.000 0.000
Hg: 0.250 0.250 0.250
As: 0.500 0.500 0.500

Computed properties:
SG: No. 216
ΔE_f: 0.013 eV per formula unit



Record 12
The following is a PBE calculation of an optimized crystal structure of LiTc, from the Alexandria database.

a b c (Å): 7.959 7.959 3.938
angles (deg): 90.00 90.00 90.00
Fractional coordinates of all 16 atoms:
Li: 0.162 0.169 0.000
Tc: 0.383 0.310 0.500
Li: 0.024 0.319 0.500
Li: 0.831 0.162 0.000
Li: 0.681 0.024 0.500
Tc: 0.516 0.839 0.000
Tc: 0.310 0.617 0.500
Tc: 0.839 0.484 0.000
Tc: 0.161 0.516 0.000
Li: 0.169 0.838 0.000
Tc: 0.690 0.383 0.500
Tc: 0.484 0.161 0.000
Tc: 0.617 0.690 0.500
Li: 0.319 0.976 0.500
Li: 0.838 0.831 0.000
Li: 0.976 0.681 0.500

Computed properties:
distance to the lowest polymorph of the same formula: 239 meV/atom
SG: No. 83
ΔE_f: 0.666 eV per formula unit



Record 13
The following is a PBE calculation of an optimized crystal structure of Ce4DySb5, from the Alexandria database.

a b c (Å): 4.480 4.480 16.123
angles (deg): 97.99 97.99 90.00
Last column: magnetic moment on the atom in μB.
Fractional coordinates of all 10 atoms:
Dy: 0.000 0.000 0.000  0.00
Ce: 0.199 0.199 0.399  0.77
Ce: 0.599 0.599 0.198  0.74
Sb: 0.700 0.700 0.400  -0.03
Sb: 0.300 0.300 0.600  -0.03
Ce: 0.801 0.801 0.601  0.77
Sb: 0.901 0.901 0.803  -0.02
Ce: 0.401 0.401 0.802  0.74
Sb: 0.500 0.500 0.000  -0.01
Sb: 0.099 0.099 0.197  -0.02

Computed properties:
distance to the lowest polymorph of the same formula: 4 meV/atom
SG: No. 139